# 1
Entry from Alexandria: a geometry-optimized Tb4Te2PdS structure (PBE-GGA).

Crystal system: monoclinic
Space group: P2/m, No. 10
Calculated total energy (Ry per atom): -0.4132
E_form (uncorrected) (eV per atom): -1.356

abc: 4.107 7.342 7.437
angles: 108.83 90.00 90.00
Atoms (fractional coordinates):
Tb: 0.000 0.734 0.213
Tb: 0.500 0.768 0.783
Tb: 0.000 0.266 0.787
Te: 0.000 0.500 0.500
Tb: 0.500 0.232 0.217
Te: 0.500 0.000 0.500
Pd: 0.500 0.500 0.000
S: 0.000 0.000 0.000

# 2
Entry from Alexandria: a geometry-optimized LaTl2Br3Cl3 structure (PBE-GGA).

Crystal system: hexagonal
Space group: P-62m, No. 189
Calculated total energy (Ry per atom): -0.2663
E_form (uncorrected) (eV per atom): -1.377

abc: 4.242 8.401 8.401
angles: 120.00 90.00 90.00
Atoms (fractional coordinates):
Tl: 0.500 0.333 0.667
Tl: 0.500 0.667 0.333
La: 0.000 0.000 0.000
Br: 0.000 0.400 0.000
Cl: 0.500 0.766 0.000
Br: 0.000 0.000 0.400
Br: 0.000 0.600 0.600
Cl: 0.500 0.234 0.234
Cl: 0.500 0.000 0.766

# 3
Entry from Alexandria: a geometry-optimized LiTh2Si3Pt4 structure (PBE-GGA).

Crystal system: tetragonal
Space group: P-4m2, No. 115
Calculated total energy (Ry per atom): -0.4997
E_form (uncorrected) (eV per atom): -1.081

abc: 4.263 4.263 9.914
angles: 90.00 90.00 90.00
Atoms (fractional coordinates):
Th: 0.000 0.500 0.749
Pt: 0.500 0.500 0.000
Si: 0.000 0.000 0.500
Th: 0.500 0.000 0.251
Pt: 0.500 0.000 0.627
Si: 0.000 0.500 0.131
Li: 0.500 0.500 0.500
Pt: 0.000 0.500 0.373
Si: 0.500 0.000 0.869
Pt: 0.000 0.000 0.000

# 4
Entry from Alexandria: a geometry-optimized Cs2KICl structure (PBE-GGA).

Crystal system: tetragonal
Space group: P4/mmm, No. 123
Calculated total energy (Ry per atom): -0.1803
E_form (uncorrected) (eV per atom): -1.213

abc: 6.967 6.967 6.078
angles: 90.00 90.00 90.00
Atoms (fractional coordinates):
I: 0.500 0.500 0.500
Cs: 0.500 0.000 0.000
Cl: 0.000 0.000 0.000
K: 0.000 0.000 0.500
Cs: 0.000 0.500 0.000

# 5
Entry from Alexandria: a geometry-optimized TaAlZn structure (PBE-GGA).

Crystal system: orthorhombic
Space group: Amm2, No. 38
Calculated total energy (Ry per atom): -0.4310
DFT formation energy (eV/atom): -0.242

abc: 5.024 5.024 8.337
angles: 90.00 90.00 119.32
Atoms (fractional coordinates):
Ta: 0.665 0.335 0.316
Ta: 0.665 0.335 0.684
Al: 0.654 0.833 0.500
Zn: 0.348 0.172 0.000
Al: 0.167 0.346 0.500
Ta: 0.337 0.663 0.809
Zn: 0.166 0.834 0.500
Al: 0.003 0.997 0.757
Zn: 0.828 0.652 0.000
Zn: 0.829 0.171 0.000
Ta: 0.337 0.663 0.191
Al: 0.003 0.997 0.243

# 6
Entry from Alexandria: a geometry-optimized Ba3TiCu2Se6 structure (PBE-GGA).

Crystal system: trigonal
Space group: P-3m1, No. 164
Calculated total energy (Ry per atom): -0.3448
E_form (uncorrected) (eV per atom): -1.128

abc: 7.497 7.497 8.199
angles: 90.00 90.00 120.00
Atoms (fractional coordinates):
Cu: 0.667 0.333 0.736
Ba: 0.333 0.667 0.639
Cu: 0.333 0.667 0.264
Ba: 0.000 0.000 0.000
Se: 0.843 0.157 0.695
Ba: 0.667 0.333 0.361
Se: 0.685 0.843 0.305
Ti: 0.000 0.000 0.500
Se: 0.157 0.843 0.305
Se: 0.843 0.685 0.695
Se: 0.315 0.157 0.695
Se: 0.157 0.315 0.305

Q: What is the formula in the first record?
A: Tb4Te2PdS